Entry from Alexandria: a geometry-optimized YPRhO structure (PBE-GGA).

a = 3.968 Å, b = 3.968 Å, c = 8.046 Å
α = 90.00°, β = 90.00°, γ = 90.00°
Fractional coordinates of all 8 atoms:
Y1 0.500 0.000 0.635
Y2 0.000 0.500 0.365
P1 0.000 0.500 0.840
P2 0.500 0.000 0.160
Rh1 0.500 0.500 0.000
Rh2 0.000 0.000 0.000
O1 0.000 0.000 0.500
O2 0.500 0.500 0.500

Properties
Calculated volume in Å³/cell: 126.7
Uncorrected energy in eV per atom: -8.08
Fermi-level density of states in states/eV/f.u.: 2.51

---

Entry from Alexandria: a geometry-optimized BeHg2Mo structure (PBE-GGA).

a = 3.537 Å, b = 2.863 Å, c = 7.063 Å
α = 78.41°, β = 90.00°, γ = 90.00°
Fractional coordinates of all 4 atoms:
Be1 0.500 0.967 0.693
Mo1 0.000 0.528 0.568
Hg1 0.000 0.833 0.959
Hg2 0.500 0.172 0.280

Properties
Calculated volume in Å³/cell: 70.1
Uncorrected energy in eV per atom: -3.32
Fermi-level density of states in states/eV/f.u.: 2.10
Formation enthalpy at 0 K in eV per atom: 0.47

---

Q: calculated volume of number 2 (BeHg2Mo)?
A: 70.1 Å³/cell